Record 1
The following is a DFT calculation (SCAN) of Tb2AlNi2 at its PBEsol-relaxed geometry.

Density of states at the Fermi level, states/eV/f.u.: 2.995
DFT formation energy, eV/atom: -0.568
Space group: Immm, No. 71
Final energy, eV/cell: -136.5
M_tot, μB per formula unit: 0.1

```
5
Lattice="4.1598 0.0000 0.0000 2.0799 4.8791 -0.0105 2.0799 1.9984 4.4510" Properties=species:S:1:pos:R:3 pbc="T T T"
Ni 4.1598 4.1139 1.1746
Ni 4.1598 2.7636 3.2659
Al 0.0000 0.0000 0.0000
Tb 2.0799 2.0454 1.3207
Tb 6.2396 4.8321 3.1199
```


Record 2
The following is a DFT calculation (SCAN) of TbAlNi4 at its PBEsol-relaxed geometry.

Density of states at the Fermi level, states/eV/f.u.: 4.798
DFT formation energy, eV/atom: -0.474
Space group: P-6m2, No. 187
Final energy, eV/cell: -122.1
M_tot, μB per formula unit: 0.0

```
6
Lattice="-0.4266 -3.7631 -0.4613 2.2935 -0.7936 4.3535 -4.9486 0.5782 -0.1408" Properties=species:S:1:pos:R:3 pbc="T T T"
Ni -0.1205 -0.3363 2.8554
Ni -1.5829 -2.1583 3.2937
Ni 0.8558 -2.4432 3.3631
Ni -0.2744 -2.0521 1.2176
Tb -2.5346 0.1209 1.3573
Al 0.0000 0.0000 0.0000
```